(1)
## MnCd2 (GGA-PBEsol)

Data for an optimized crystal structure of MnCd2.

crystal system	tetragonal
uncorrected energy	-3.7995	eV per atom

Geometry as CIF:
```
data_MnCd2
_space_group_name_H-M_alt 'I 4/m m m'
_space_group_IT_number 139
_space_group_name_Hall '-I 4 2'
_cell_length_a 2.9683
_cell_length_b 2.9683
_cell_length_c 12.0445
_cell_angle_alpha 90.00
_cell_angle_beta 90.00
_cell_angle_gamma 90.00
loop_
_atom_site_label
_atom_site_fract_x
_atom_site_fract_y
_atom_site_fract_z
_atom_site_occupancy
Mn1 0.0000 0.0000 0.0000 1
Cd1 0.0000 0.0000 0.3435 1
```

(2)
## TlNi2P (GGA-PBEsol)

Data for an optimized crystal structure of TlNi2P.

crystal system	orthorhombic
uncorrected energy	-5.2963	eV per atom

Geometry as CIF:
```
data_TlNi2P
_space_group_name_H-M_alt 'I m m 2'
_space_group_IT_number 44
_cell_length_a 2.9482
_cell_length_b 3.2168
_cell_length_c 12.4917
_cell_angle_alpha 90.00
_cell_angle_beta 90.00
_cell_angle_gamma 90.00
loop_
_space_group_symop_operation_xyz
'x,y,z'
'-x,-y,z'
'-x,y,z'
'x,-y,z'
'x+1/2,y+1/2,z+1/2'
'-x+1/2,-y+1/2,z+1/2'
'-x+1/2,y+1/2,z+1/2'
'x+1/2,-y+1/2,z+1/2'
loop_
_atom_site_label
_atom_site_fract_x
_atom_site_fract_y
_atom_site_fract_z
_atom_site_occupancy
Tl1 0.0000 0.0000 0.0000 1
Ni1 0.0000 0.0000 0.3613 1
Ni2 0.0000 0.5000 0.6905 1
P1 0.0000 0.5000 0.2433 1
```

(3)
## MgIn2Tc (GGA-PBEsol)

Data for an optimized crystal structure of MgIn2Tc.

crystal system	tetragonal
uncorrected energy	-4.6277	eV per atom

Geometry as CIF:
```
data_MgIn2Tc
_space_group_name_H-M_alt 'P 4/m m m'
_space_group_IT_number 123
_space_group_name_Hall '-P 4 2'
_cell_length_a 3.5077
_cell_length_b 3.5077
_cell_length_c 5.9997
_cell_angle_alpha 90.00
_cell_angle_beta 90.00
_cell_angle_gamma 90.00
loop_
_atom_site_label
_atom_site_fract_x
_atom_site_fract_y
_atom_site_fract_z
_atom_site_occupancy
Mg1 0.0000 0.0000 0.0000 1
In1 0.5000 0.5000 0.2653 1
Tc1 0.0000 0.0000 0.5000 1
```

(4)
## KMn16O32 (GGA-PBEsol)

Data for an optimized crystal structure of KMn16O32.

crystal system	tetragonal
ΔE_f (raw)	-161.78	kJ per mole of atoms

Geometry as CIF:
```
data_KMn16O32
_space_group_name_H-M_alt 'P 4/m'
_space_group_IT_number 83
_cell_length_a 9.7189
_cell_length_b 9.7189
_cell_length_c 5.6669
_cell_angle_alpha 90.00
_cell_angle_beta 90.00
_cell_angle_gamma 90.00
loop_
_space_group_symop_operation_xyz
'x,y,z'
'-x,-y,-z'
'-y,x,z'
'y,-x,-z'
'-x,-y,z'
'x,y,-z'
'y,-x,z'
'-y,x,-z'
loop_
_atom_site_label
_atom_site_fract_x
_atom_site_fract_y
_atom_site_fract_z
_atom_site_occupancy
K1 0.0000 0.0000 0.0000 1
Mn1 0.1507 0.3327 0.5000 1
Mn2 0.1522 0.3345 0.0000 1
Mn3 0.1687 0.6518 0.2502 1
O1 0.0421 0.6682 0.0000 1
O2 0.0426 0.6663 0.5000 1
O3 0.1542 0.2023 0.2488 1
O4 0.1636 0.4588 0.2507 1
O5 0.2980 0.6556 0.0000 1
O6 0.2978 0.6565 0.5000 1
```

(5)
## Cu3TePt (GGA-PBEsol)

Data for an optimized crystal structure of Cu3TePt.

crystal system	cubic
ΔE_f (raw)	105.22	kJ per mole of atoms

Geometry as CIF:
```
data_Cu3TePt
_space_group_name_H-M_alt 'P m -3 m'
_space_group_IT_number 221
_space_group_name_Hall '-P 4 2 3'
_cell_length_a 4.6334
_cell_length_b 4.6334
_cell_length_c 4.6334
_cell_angle_alpha 90.00
_cell_angle_beta 90.00
_cell_angle_gamma 90.00
loop_
_atom_site_label
_atom_site_fract_x
_atom_site_fract_y
_atom_site_fract_z
_atom_site_occupancy
Cu1 0.0000 0.0000 0.5000 1
Te1 0.0000 0.0000 0.0000 1
Pt1 0.5000 0.5000 0.5000 1
```

(6)
## NaSr3Ir (GGA-PBEsol)

Data for an optimized crystal structure of NaSr3Ir.

crystal system	cubic
uncorrected energy	-3.4200	eV per atom

Geometry as CIF:
```
data_NaSr3Ir
_space_group_name_H-M_alt 'P m -3 m'
_space_group_IT_number 221
_space_group_name_Hall '-P 4 2 3'
_cell_length_a 5.8423
_cell_length_b 5.8423
_cell_length_c 5.8423
_cell_angle_alpha 90.00
_cell_angle_beta 90.00
_cell_angle_gamma 90.00
loop_
_atom_site_label
_atom_site_fract_x
_atom_site_fract_y
_atom_site_fract_z
_atom_site_occupancy
Na1 0.0000 0.0000 0.0000 1
Sr1 0.0000 0.5000 0.5000 1
Ir1 0.5000 0.5000 0.5000 1
```

| no. | N(E_F) (states/eV per cell) |
| --- | --- |
| 1 | 4.9 |
| 2 | 5.1 |
| 3 | 3.0 |
| 4 | 9.3 |
| 5 | 2.2 |
| 6 | 3.4 |